No. 1
Below is GaRhAu2I at its PBEsol-relaxed geometry, with properties calculated at the meta-GGA SCAN level.

Output
ΔE_f (raw) = 0.51 eV/atom
total magnetization = 0.0 μB per cell
SG = P4/mmm, No. 123
N(E_F) = 3.70 states/eV/f.u.

Lattice parameters (Å, degrees): 5.047 5.047 4.625 90.00 90.00 90.00
Fractional coordinates of all 5 atoms:
Ga: 0.000 0.000 0.000
Rh: 0.000 0.000 0.500
Au: 0.000 0.500 0.500
Au: 0.500 0.000 0.500
I: 0.500 0.500 0.000



No. 2
Below is TlGaAu2I at its PBEsol-relaxed geometry, with properties calculated at the meta-GGA SCAN level.

Output
ΔE_f (raw) = 0.39 eV/atom
total magnetization = 0.0 μB per cell
SG = P4/mmm, No. 123
N(E_F) = 1.06 states/eV/f.u.

Lattice parameters (Å, degrees): 5.170 5.170 6.390 90.00 90.00 90.00
Fractional coordinates of all 5 atoms:
Tl: 0.000 0.000 0.000
Ga: 0.500 0.500 0.500
Au: 0.000 0.500 0.000
Au: 0.500 0.000 0.000
I: 0.000 0.000 0.500



No. 3
Below is InGa2Au2 at its PBEsol-relaxed geometry, with properties calculated at the meta-GGA SCAN level.

Output
total magnetization = 0.0 μB per cell
energy of formation from the pure elements = -0.192 eV/atom
SG = I4/mmm, No. 139
N(E_F) = 1.94 states/eV/f.u.

Lattice parameters (Å, degrees): 3.905 3.905 12.514 90.00 90.00 90.00
Fractional coordinates of all 10 atoms:
In: 0.000 0.000 0.000
In: 0.500 0.500 0.500
Ga: 0.000 0.500 0.250
Ga: 0.000 0.500 0.750
Ga: 0.500 0.000 0.250
Ga: 0.500 0.000 0.750
Au: 0.000 0.000 0.391
Au: 0.000 0.000 0.609
Au: 0.500 0.500 0.109
Au: 0.500 0.500 0.891



No. 4
Below is In3GaAu at its PBEsol-relaxed geometry, with properties calculated at the meta-GGA SCAN level.

Output
total magnetization = 0.0 μB per cell
energy of formation from the pure elements = 0.228 eV/atom
SG = Pm-3m, No. 221
N(E_F) = 3.16 states/eV/f.u.

Lattice parameters (Å, degrees): 5.236 5.236 5.236 90.00 90.00 90.00
Fractional coordinates of all 5 atoms:
In: 0.000 0.000 0.500
In: 0.000 0.500 0.000
In: 0.500 0.000 0.000
Ga: 0.500 0.500 0.500
Au: 0.000 0.000 0.000



No. 5
Below is InGa2Au2 at its PBEsol-relaxed geometry, with properties calculated at the meta-GGA SCAN level.

Output
total magnetization = 0.0 μB per cell
energy of formation from the pure elements = -0.106 eV/atom
SG = I4/mmm, No. 139
N(E_F) = 1.92 states/eV/f.u.

Lattice parameters (Å, degrees): 4.456 4.456 10.109 90.00 90.00 90.00
Fractional coordinates of all 10 atoms:
In: 0.000 0.000 0.000
In: 0.500 0.500 0.500
Ga: 0.000 0.000 0.379
Ga: 0.000 0.000 0.621
Ga: 0.500 0.500 0.121
Ga: 0.500 0.500 0.879
Au: 0.000 0.500 0.250
Au: 0.000 0.500 0.750
Au: 0.500 0.000 0.250
Au: 0.500 0.000 0.750



No. 6
Below is InGa2Au2 at its PBEsol-relaxed geometry, with properties calculated at the meta-GGA SCAN level.

Output
total magnetization = 0.0 μB per cell
energy of formation from the pure elements = -0.356 eV/atom
SG = P6_3/mmc, No. 194
N(E_F) = 1.62 states/eV/f.u.

Lattice parameters (Å, degrees): 4.195 4.195 12.965 90.00 90.00 120.00
Fractional coordinates of all 10 atoms:
In: 0.000 0.000 0.250
In: 0.000 0.000 0.750
Ga: 0.333 0.667 0.064
Ga: 0.333 0.667 0.436
Ga: 0.667 0.333 0.564
Ga: 0.667 0.333 0.936
Au: 0.333 0.667 0.638
Au: 0.333 0.667 0.862
Au: 0.667 0.333 0.138
Au: 0.667 0.333 0.362



No. 7
Below is In2GaAu2 at its PBEsol-relaxed geometry, with properties calculated at the meta-GGA SCAN level.

Output
total magnetization = 0.0 μB per cell
energy of formation from the pure elements = 0.009 eV/atom
SG = I4/mmm, No. 139
N(E_F) = 1.85 states/eV/f.u.

Lattice parameters (Å, degrees): 4.281 4.281 12.333 90.00 90.00 90.00
Fractional coordinates of all 10 atoms:
In: 0.000 0.500 0.250
In: 0.000 0.500 0.750
In: 0.500 0.000 0.250
In: 0.500 0.000 0.750
Ga: 0.000 0.000 0.000
Ga: 0.500 0.500 0.500
Au: 0.000 0.000 0.394
Au: 0.000 0.000 0.606
Au: 0.500 0.500 0.106
Au: 0.500 0.500 0.894



No. 8
Below is InGa3Au at its PBEsol-relaxed geometry, with properties calculated at the meta-GGA SCAN level.

Output
total magnetization = 0.0 μB per cell
energy of formation from the pure elements = 0.185 eV/atom
SG = Pm-3m, No. 221
N(E_F) = 3.18 states/eV/f.u.

Lattice parameters (Å, degrees): 4.940 4.940 4.940 90.00 90.00 90.00
Fractional coordinates of all 5 atoms:
In: 0.000 0.000 0.000
Ga: 0.000 0.500 0.500
Ga: 0.500 0.000 0.500
Ga: 0.500 0.500 0.000
Au: 0.500 0.500 0.500



No. 9
Below is GaIrAu3 at its PBEsol-relaxed geometry, with properties calculated at the meta-GGA SCAN level.

Output
total magnetization = 1.5 μB per cell
energy of formation from the pure elements = 0.912 eV/atom
SG = Pm-3m, No. 221
N(E_F) = 3.26 states/eV/f.u.

Lattice parameters (Å, degrees): 4.973 4.973 4.973 90.00 90.00 90.00
Fractional coordinates of all 5 atoms:
Ga: 0.000 0.000 0.000
Ir: 0.500 0.500 0.500
Au: 0.000 0.500 0.500
Au: 0.500 0.000 0.500
Au: 0.500 0.500 0.000



No. 10
Below is KGa3Au at its PBEsol-relaxed geometry, with properties calculated at the meta-GGA SCAN level.

Output
total magnetization = 0.0 μB per cell
energy of formation from the pure elements = 1.413 eV/atom
SG = Pm-3m, No. 221
N(E_F) = 4.98 states/eV/f.u.

Lattice parameters (Å, degrees): 5.439 5.439 5.439 90.00 90.00 90.00
Fractional coordinates of all 5 atoms:
K: 0.000 0.000 0.000
Ga: 0.000 0.000 0.500
Ga: 0.000 0.500 0.000
Ga: 0.500 0.000 0.000
Au: 0.500 0.500 0.500



No. 11
Below is KGaAu3 at its PBEsol-relaxed geometry, with properties calculated at the meta-GGA SCAN level.

Output
total magnetization = 0.0 μB per cell
energy of formation from the pure elements = 1.137 eV/atom
SG = Pm-3m, No. 221
N(E_F) = 4.31 states/eV/f.u.

Lattice parameters (Å, degrees): 5.517 5.517 5.517 90.00 90.00 90.00
Fractional coordinates of all 5 atoms:
K: 0.000 0.000 0.000
Ga: 0.500 0.500 0.500
Au: 0.000 0.000 0.500
Au: 0.000 0.500 0.000
Au: 0.500 0.000 0.000



No. 12
Below is K2GaAu at its PBEsol-relaxed geometry, with properties calculated at the meta-GGA SCAN level.

Output
total magnetization = 0.0 μB per cell
energy of formation from the pure elements = -0.245 eV/atom
SG = I-42d, No. 122
N(E_F) = 2.15 states/eV/f.u.

Lattice parameters (Å, degrees): 12.194 12.194 4.800 90.00 90.00 90.00
Fractional coordinates of all 16 atoms:
K: 0.072 0.750 0.125
K: 0.250 0.072 0.875
K: 0.250 0.428 0.375
K: 0.428 0.750 0.625
K: 0.572 0.250 0.625
K: 0.750 0.572 0.375
K: 0.750 0.928 0.875
K: 0.928 0.250 0.125
Ga: 0.000 0.000 0.500
Ga: 0.000 0.500 0.750
Ga: 0.500 0.000 0.250
Ga: 0.500 0.500 0.000
Au: 0.000 0.000 0.000
Au: 0.000 0.500 0.250
Au: 0.500 0.000 0.750
Au: 0.500 0.500 0.500